# GGA-PBE NdGe4Os2, optimized geometry
# - total magnetic moment (μB per formula unit) = 0.00
# - DFT formation energy (eV/atom) = -0.0886
# - ΔE to the lowest computed polymorph (meV/atom) = 212
data_NdGe4Os2
_symmetry_space_group_name_H-M 'I -4 2 d'
_symmetry_Int_Tables_number 122
_symmetry_space_group_name_Hall 'I -4 2bw'
_cell_length_a 7.7872
_cell_length_b 7.7872
_cell_length_c 8.2212
_cell_angle_alpha 90.00
_cell_angle_beta 90.00
_cell_angle_gamma 90.00
loop_
_atom_site_label
_atom_site_type_symbol
_atom_site_fract_x
_atom_site_fract_y
_atom_site_fract_z
Nd1 Nd 0.0000 0.0000 0.0000
Ge1 Ge 0.0859 0.1434 0.3431
Os1 Os 0.1752 0.2500 0.6250